VASP calculation (GGA-PBE) on a relaxed KTe2Au crystal.

Computed properties:
crystal system	tetragonal
Fermi-level density of states	2.19	states/eV per cell
total DFT energy (no corrections)	-10.9	eV for the cell shown

```
KTe2Au
1.0
-0.409 -6.242 -0.128
4.684 -3.074 -2.785
-0.543 4.495 4.318
Te Au K
2 1 1
direct
0.500 0.500 0.000
0.000 0.000 0.000
0.250 0.750 0.500
0.750 0.250 0.500
```